# 1
SiGe3F (GGA-PBEsol, optimized geometry); M_tot = 0.00 μB per cell; uncorrected formation energy = 36.71 kJ/mol of atoms
1.0
4.706 0.000 0.000
0.000 4.706 0.000
0.000 0.000 4.706
Si Ge F
1 3 1
Direct
0.000 0.000 0.000
0.000 0.000 0.500
0.000 0.500 0.000
0.500 0.000 0.000
0.500 0.500 0.500

***

# 2
YSi2GeF (GGA-PBEsol, optimized geometry); M_tot = 0.00 μB per cell; uncorrected formation energy = -35.49 kJ/mol of atoms
1.0
4.538 0.000 0.000
0.000 4.538 0.000
0.000 0.000 4.457
Y Si Ge F
1 2 1 1
Direct
0.000 0.000 0.000
0.000 0.500 0.500
0.500 0.000 0.500
0.500 0.500 0.000
0.000 0.000 0.500

***

# 3
TaGe3F (GGA-PBEsol, optimized geometry); M_tot = 0.19 μB per cell; energy relative to the lowest polymorph listed for this composition = 76 meV/atom; uncorrected formation energy = 21.78 kJ/mol of atoms
1.0
4.924 0.000 0.000
0.000 4.924 0.000
0.000 0.000 4.924
Ta Ge F
1 3 1
Direct
0.000 0.000 0.000
0.000 0.000 0.500
0.000 0.500 0.000
0.500 0.000 0.000
0.500 0.500 0.500

***

# 4
TaGe3F (GGA-PBEsol, optimized geometry); M_tot = 0.00 μB per cell; energy relative to the lowest polymorph listed for this composition = 0 meV/atom; uncorrected formation energy = 14.47 kJ/mol of atoms
1.0
4.331 0.000 0.000
0.000 4.331 0.000
0.000 0.000 4.331
Ta Ge F
1 3 1
Direct
0.000 0.000 0.000
0.000 0.500 0.500
0.500 0.000 0.500
0.500 0.500 0.000
0.500 0.500 0.500